[1]
TlIn2Te2 | PBE | relaxed

Values from the calculation:
The energy relative to the lowest polymorph listed for this composition is 0.101 eV/atom. Its formation energy (no corrections) is -0.154 eV per atom. The value obtained for the density of states at the Fermi level is 1.83 states/eV/f.u.

Cell lengths 5.9206, 5.9206, 9.2003 Å; angles 90.11, 90.11, 132.59 degrees
Closest atoms and distances in Å follow each position.
Fractional coordinates of all 5 atoms:
Tl: 0.0000 0.0000 0.0000  4 Te 3.39
In: 0.3297 0.6703 0.5000  2 Te 2.86, 2 In 2.94
In: 0.6703 0.3297 0.5000  2 Te 2.86, 2 In 2.94
Te: 0.4981 0.4981 0.7380  2 In 2.86
Te: 0.5019 0.5019 0.2620  2 In 2.86

[2]
TlIn2Te | PBE | relaxed

Values from the calculation:
The energy relative to the lowest polymorph listed for this composition is 0.131 eV/atom. Its formation energy (no corrections) is 0.006 eV per atom. The value obtained for the density of states at the Fermi level is 2.02 states/eV/f.u.

Cell lengths 8.2019, 8.2019, 8.2019 Å; angles 128.97, 128.97, 75.07 degrees
Closest atoms and distances in Å follow each position.
Fractional coordinates of all 8 atoms:
Tl: 0.0000 0.0000 0.0000  4 In 2.97
Tl: 0.7500 0.2500 0.5000  4 In 2.97
In: 0.1220 0.6250 0.9970  2 Tl 2.97, 2 Te 2.99
In: 0.3750 0.3720 0.4970  2 Tl 2.97, 2 Te 2.99
In: 0.6280 0.1250 0.0030  2 Tl 2.97, 2 Te 2.99
In: 0.8750 0.8780 0.5030  2 Tl 2.97, 2 Te 2.99
Te: 0.2500 0.7500 0.5000  4 In 2.99
Te: 0.5000 0.5000 0.0000  4 In 2.99

[3]
TlIn2Te | PBE | relaxed

Values from the calculation:
The energy relative to the lowest polymorph listed for this composition is 0.015 eV/atom. Its formation energy (no corrections) is -0.110 eV per atom. The value obtained for the density of states at the Fermi level is 1.38 states/eV/f.u.

Cell lengths 4.2347, 8.0079, 7.6836 Å; angles 90.00, 103.75, 90.00 degrees
Closest atoms and distances in Å follow each position.
Fractional coordinates of all 8 atoms:
Tl: 0.0288 0.2500 0.0457  8 In 3.40-3.50
Tl: 0.9712 0.7500 0.9543  8 In 3.40-3.50
In: 0.3958 0.0331 0.7591  3 Te 3.15-3.23, 4 Tl 3.40-3.50, 1 In 3.47
In: 0.3958 0.4669 0.7591  3 Te 3.15-3.23, 4 Tl 3.40-3.50, 1 In 3.47
In: 0.6042 0.5331 0.2409  3 Te 3.15-3.23, 4 Tl 3.40-3.50, 1 In 3.47
In: 0.6042 0.9669 0.2409  3 Te 3.15-3.23, 4 Tl 3.40-3.50, 1 In 3.47
Te: 0.2051 0.7500 0.4685  6 In 3.15-3.23
Te: 0.7949 0.2500 0.5315  6 In 3.15-3.23

Calculated uncorrected energy in order - -2.98, -2.74, -2.86 eV/atom
Calculated M_tot in order - 0.0, 0.0, 0.0 μB per formula unit